PtRh5 at its PBEsol-relaxed geometry, computed with meta-GGA SCAN.

Total magnetization: 0.0 μB/f.u.
Energy above the most stable polymorph in this dataset: 69 meV/atom
E_form: 56 meV/atom
Total DFT energy (no corrections): -39.786 eV/atom

abc: 2.6936 4.3909 7.1159
angles: 90.00 100.91 90.00
Last column: nearest neighbours and their distance in Å.
Fractional coordinates of all 6 atoms:
Pt 0.9997 0.0000 0.9994  2 Pt 2.69, 10 Rh 2.70-2.72
Rh 0.2221 0.5000 0.4442  12 Rh 2.67-2.69
Rh 0.3314 0.0000 0.6628  10 Rh 2.64-2.69, 2 Pt 2.71
Rh 0.5569 0.5000 0.1139  8 Rh 2.67-2.72, 4 Pt 2.70
Rh 0.6689 0.0000 0.3378  10 Rh 2.64-2.70, 2 Pt 2.72
Rh 0.8876 0.5000 0.7753  10 Rh 2.68-2.72, 2 Pt 2.70